1.
The following is a DFT calculation (PBE) of a relaxed AsRhCl3 crystal.

Structure (CIF):
```
data_AsRhCl3
_symmetry_space_group_name_H-M 'P m -3 m'
_symmetry_Int_Tables_number 221
_symmetry_space_group_name_Hall '-P 4 2 3'
_cell_length_a 4.8157
_cell_length_b 4.8157
_cell_length_c 4.8157
_cell_angle_alpha 90.00
_cell_angle_beta 90.00
_cell_angle_gamma 90.00
loop_
_atom_site_label
_atom_site_type_symbol
_atom_site_fract_x
_atom_site_fract_y
_atom_site_fract_z
As1 As 0.0000 0.0000 0.0000
Rh1 Rh 0.5000 0.5000 0.5000
Cl1 Cl 0.0000 0.5000 0.5000
```

Calculated values
ΔE to the lowest computed polymorph	0	meV per atom
D(E_F)	1.06	states/eV per atom

---

2.
The following is a DFT calculation (PBE) of a relaxed LiBeCl crystal.

Structure (CIF):
```
data_LiBeCl
_symmetry_space_group_name_H-M 'I m m 2'
_symmetry_Int_Tables_number 44
_symmetry_space_group_name_Hall 'I 2 -2'
_cell_length_a 3.1923
_cell_length_b 3.2487
_cell_length_c 11.5741
_cell_angle_alpha 90.00
_cell_angle_beta 90.00
_cell_angle_gamma 90.00
loop_
_atom_site_label
_atom_site_type_symbol
_atom_site_fract_x
_atom_site_fract_y
_atom_site_fract_z
Li1 Li 0.0000 0.0000 0.0000
Be1 Be 0.0000 0.0000 0.3740
Cl1 Cl 0.0000 0.0000 0.5597
```

Calculated values
ΔE to the lowest computed polymorph	74	meV per atom
D(E_F)	0.35	states/eV per atom

---

3.
The following is a DFT calculation (PBE) of a relaxed BaTcIr crystal.

Structure (CIF):
```
data_BaTcIr
_symmetry_space_group_name_H-M 'P n m a'
_symmetry_Int_Tables_number 62
_symmetry_space_group_name_Hall '-P 2ac 2n'
_cell_length_a 7.9254
_cell_length_b 4.3957
_cell_length_c 8.6733
_cell_angle_alpha 90.00
_cell_angle_beta 90.00
_cell_angle_gamma 90.00
loop_
_atom_site_label
_atom_site_type_symbol
_atom_site_fract_x
_atom_site_fract_y
_atom_site_fract_z
Ba1 Ba 0.0034 0.2500 0.1803
Tc1 Tc 0.1474 0.7500 0.4338
Ir1 Ir 0.1579 0.2500 0.5670
```

Calculated values
ΔE to the lowest computed polymorph	192	meV per atom
energy relative to the elements	0.8	eV per formula unit
D(E_F)	0.71	states/eV per atom

---

4.
The following is a DFT calculation (PBE) of a relaxed DyErZnTc crystal.

Structure (CIF):
```
data_DyErZnTc
_symmetry_space_group_name_H-M 'F -4 3 m'
_symmetry_Int_Tables_number 216
_symmetry_space_group_name_Hall 'F -4 2 3'
_cell_length_a 6.9337
_cell_length_b 6.9337
_cell_length_c 6.9337
_cell_angle_alpha 90.00
_cell_angle_beta 90.00
_cell_angle_gamma 90.00
loop_
_atom_site_label
_atom_site_type_symbol
_atom_site_fract_x
_atom_site_fract_y
_atom_site_fract_z
Dy1 Dy 0.0000 0.0000 0.0000
Er1 Er 0.0000 0.0000 0.5000
Zn1 Zn 0.2500 0.2500 0.2500
Tc1 Tc 0.2500 0.2500 0.7500
```

Calculated values
energy relative to the elements	-0.7	eV per formula unit
D(E_F)	0.66	states/eV per atom

---

5.
The following is a DFT calculation (PBE) of a relaxed LaTl2Pd crystal.

Structure (CIF):
```
data_LaTl2Pd
_symmetry_space_group_name_H-M 'I -4 2 d'
_symmetry_Int_Tables_number 122
_symmetry_space_group_name_Hall 'I -4 2bw'
_cell_length_a 4.4132
_cell_length_b 4.4132
_cell_length_c 22.7416
_cell_angle_alpha 90.00
_cell_angle_beta 90.00
_cell_angle_gamma 90.00
loop_
_atom_site_label
_atom_site_type_symbol
_atom_site_fract_x
_atom_site_fract_y
_atom_site_fract_z
La1 La 0.0000 0.0000 0.0000
Tl1 Tl 0.2276 0.2500 0.6250
Pd1 Pd 0.0000 0.0000 0.5000
```

Calculated values
energy relative to the elements	-1.0	eV per formula unit
D(E_F)	0.56	states/eV per atom

---

6.
The following is a DFT calculation (PBE) of a relaxed Tb3Pm2Er6In crystal.

Structure (CIF):
```
data_Tb3Pm2Er6In
_symmetry_space_group_name_H-M 'C 1 2/m 1'
_symmetry_Int_Tables_number 12
_symmetry_space_group_name_Hall '-C 2y'
_cell_length_a 6.0669
_cell_length_b 10.5145
_cell_length_c 11.6630
_cell_angle_alpha 90.00
_cell_angle_beta 100.02
_cell_angle_gamma 90.00
loop_
_atom_site_label
_atom_site_type_symbol
_atom_site_fract_x
_atom_site_fract_y
_atom_site_fract_z
Tb1 Tb 0.0000 0.0000 0.0000
Tb2 Tb 0.0000 0.3332 0.0000
Pm1 Pm 0.0000 0.1661 0.5000
Er1 Er 0.2449 0.5000 0.2504
Er2 Er 0.2463 0.3361 0.7486
In1 In 0.0000 0.5000 0.5000
```

Calculated values
energy relative to the elements	-0.7	eV per formula unit
D(E_F)	1.29	states/eV per atom

---

7.
The following is a DFT calculation (PBE) of a relaxed Ba2ZnInAg6 crystal.

Structure (CIF):
```
data_Ba2ZnInAg6
_symmetry_space_group_name_H-M 'C 1 2/m 1'
_symmetry_Int_Tables_number 12
_symmetry_space_group_name_Hall '-C 2y'
_cell_length_a 10.3876
_cell_length_b 10.4106
_cell_length_c 7.3453
_cell_angle_alpha 90.00
_cell_angle_beta 134.87
_cell_angle_gamma 90.00
loop_
_atom_site_label
_atom_site_type_symbol
_atom_site_fract_x
_atom_site_fract_y
_atom_site_fract_z
Ba1 Ba 0.0000 0.2500 0.0000
Zn1 Zn 0.0000 0.0000 0.5000
In1 In 0.0000 0.5000 0.5000
Ag1 Ag 0.0000 0.2399 0.5000
Ag2 Ag 0.2400 0.0000 0.5001
Ag3 Ag 0.2400 0.0000 0.9799
```

Calculated values
energy relative to the elements	-0.6	eV per formula unit
D(E_F)	0.51	states/eV per atom

---

8.
The following is a DFT calculation (PBE) of a relaxed AlCSeBr2 crystal.

Structure (CIF):
```
data_AlCSeBr2
_symmetry_space_group_name_H-M 'P 4/m m m'
_symmetry_Int_Tables_number 123
_symmetry_space_group_name_Hall '-P 4 2'
_cell_length_a 4.9560
_cell_length_b 4.9560
_cell_length_c 5.1162
_cell_angle_alpha 90.00
_cell_angle_beta 90.00
_cell_angle_gamma 90.00
loop_
_atom_site_label
_atom_site_type_symbol
_atom_site_fract_x
_atom_site_fract_y
_atom_site_fract_z
Al1 Al 0.0000 0.0000 0.0000
C1 C 0.5000 0.5000 0.5000
Se1 Se 0.0000 0.0000 0.5000
Br1 Br 0.0000 0.5000 0.0000
```

Calculated values
ΔE to the lowest computed polymorph	172	meV per atom
D(E_F)	0.76	states/eV per atom